Record 1
Compound: La2NF3
Source: Alexandria via LeMat-Bulk
Functional: PBE-GGA
Structure: optimized geometry

Values from the calculation:
M_tot ... 0.000 μB/atom
E_form (uncorrected) ... -3.336 eV/atom
DOS(E_F) ... 0.000 states/eV per cell

Cell: 13.976 4.086 7.199 Å, 90.00 100.44 90.00°
Space group C2/m (No. 12)
Inequivalent atoms, fractional coordinates:
La 0.107 0.000 0.387 (multiplicity 4)
La 0.122 0.500 0.852 (multiplicity 4)
N 0.065 0.000 0.693 (multiplicity 4)
F 0.066 0.500 0.173 (multiplicity 4)
F 0.187 0.500 0.540 (multiplicity 4)
F 0.197 0.000 0.087 (multiplicity 4)

---

Record 2
Compound: KSr2GaIr
Source: Alexandria via LeMat-Bulk
Functional: PBE-GGA
Structure: optimized geometry

Values from the calculation:
M_tot ... 0.000 μB/atom
E_form ... -0.17 eV per atom
DOS(E_F) ... 2.742 states/eV per cell

Cell: 5.968 5.968 4.972 Å, 90.00 90.00 90.00°
Space group P4/mmm (No. 123)
Inequivalent atoms, fractional coordinates:
K 0.000 0.000 0.000 (multiplicity 1)
Sr 0.000 0.500 0.500 (multiplicity 2)
Ga 0.500 0.500 0.000 (multiplicity 1)
Ir 0.500 0.500 0.500 (multiplicity 1)

---

Record 3
Compound: Zn2HgPb
Source: Alexandria via LeMat-Bulk
Functional: PBE-GGA
Structure: optimized geometry

Values from the calculation:
M_tot ... 0.000 μB/atom
E_form ... 0.15 eV per atom
DOS(E_F) ... 2.808 states/eV per cell
Relative energy among the computed polymorphs ... 45 meV/atom

Cell: 3.459 5.316 9.875 Å, 90.00 90.00 90.00°
Space group Imm2 (No. 44)
Inequivalent atoms, fractional coordinates:
Zn 0.000 0.000 0.000 (multiplicity 2)
Zn 0.000 0.500 0.297 (multiplicity 2)
Hg 0.000 0.500 0.745 (multiplicity 2)
Pb 0.000 0.000 0.534 (multiplicity 2)